(1)
## Cs2RePdBr6 (PBE)

Data for an optimized crystal structure of Cs2RePdBr6.

Cell lengths 7.6499, 7.6499, 7.6499 Å; angles 119.79, 119.79, 90.37 degrees
Atoms (fractional coordinates):
Cs: 0.2500 0.7500 0.5000
Cs: 0.7500 0.2500 0.5000
Re: 0.0000 0.0000 0.0000
Pd: 0.5000 0.5000 0.0000
Br: 0.2386 0.2386 0.4771
Br: 0.2386 0.7614 0.0000
Br: 0.2406 0.2406 0.0000
Br: 0.7594 0.7594 0.0000
Br: 0.7614 0.2386 0.0000
Br: 0.7614 0.7614 0.5229

Summary:
Formation energy without anion corrections (eV per atom): -0.7486
Total moment (μB per formula unit): 3.00
Final energy (eV/atom): -3.6871

=====

(2)
## Ca2Ce4Sb3O2 (PBE)

Data for an optimized crystal structure of Ca2Ce4Sb3O2.

Cell lengths 13.2866, 13.2866, 13.2866 Å; angles 159.36, 159.36, 29.35 degrees
Atoms (fractional coordinates):
Ca: 0.1968 0.1968 0.0000
Ca: 0.8032 0.8032 0.0000
Ce: 0.0844 0.5844 0.5000
Ce: 0.4156 0.9156 0.5000
Ce: 0.5844 0.0844 0.5000
Ce: 0.9156 0.4156 0.5000
Sb: 0.3221 0.3221 0.0000
Sb: 0.5000 0.5000 0.0000
Sb: 0.6779 0.6779 0.0000
O: 0.1023 0.1023 0.0000
O: 0.8977 0.8977 0.0000

Summary:
Formation energy without anion corrections (eV per atom): -1.6248
Total moment (μB per formula unit): 4.19
Final energy (eV/atom): -6.1723

=====

(3)
## Cs4KAg (PBE)

Data for an optimized crystal structure of Cs4KAg.

Cell lengths 11.1019, 11.1019, 8.8326 Å; angles 100.46, 100.46, 108.84 degrees
Atoms (fractional coordinates):
Cs: 0.0587 0.7370 0.9465
Cs: 0.1750 0.3465 0.6214
Cs: 0.2630 0.9413 0.5535
Cs: 0.3465 0.1750 0.1214
Cs: 0.6535 0.8250 0.8786
Cs: 0.7370 0.0587 0.4465
Cs: 0.8250 0.6535 0.3786
Cs: 0.9413 0.2630 0.0535
K: 0.3842 0.6158 0.2500
K: 0.6158 0.3842 0.7500
Ag: 0.0016 0.9984 0.2500
Ag: 0.9984 0.0016 0.7500

Summary:
Total moment (μB per formula unit): 0.00
Formation energy (eV per atom): 0.031
Final energy (eV/atom): -1.1959

=====

(4)
## MnAu2 (PBE)

Data for an optimized crystal structure of MnAu2.

Cell lengths 5.2940, 5.2940, 5.2940 Å; angles 114.04, 114.04, 100.68 degrees
Atoms (fractional coordinates):
Mn: 0.2500 0.2500 0.0000
Mn: 0.7500 0.7500 0.0000
Au: 0.1702 0.6702 0.8404
Au: 0.3298 0.1702 0.5000
Au: 0.6702 0.8298 0.5000
Au: 0.8298 0.3298 0.1596

Summary:
E above lowest polymorph (meV/atom): 198
Total moment (μB per formula unit): 4.54
Formation energy (eV per atom): 0.097
Final energy (eV/atom): -5.1448

=====

(5)
## BeCu2As (PBE)

Data for an optimized crystal structure of BeCu2As.

Cell lengths 2.6643, 2.6643, 7.3450 Å; angles 90.00, 90.00, 90.00 degrees
Atoms (fractional coordinates):
Be: 0.0000 0.0000 0.0000
Cu: 0.0000 0.0000 0.4254
Cu: 0.5000 0.5000 0.1848
As: 0.5000 0.5000 0.7233

Summary:
E above lowest polymorph (meV/atom): 97
Total moment (μB per formula unit): 0.00
Formation energy (eV per atom): 0.214
Final energy (eV/atom): -3.9284

=====

(6)
## KCd3Au3 (PBE)

Data for an optimized crystal structure of KCd3Au3.

Cell lengths 7.7523, 7.7523, 7.7523 Å; angles 90.00, 90.00, 90.00 degrees
Atoms (fractional coordinates):
K: 0.0000 0.0000 0.0000
K: 0.5000 0.5000 0.5000
Cd: 0.0000 0.2500 0.5000
Cd: 0.0000 0.7500 0.5000
Cd: 0.2500 0.5000 0.0000
Cd: 0.5000 0.0000 0.2500
Cd: 0.5000 0.0000 0.7500
Cd: 0.7500 0.5000 0.0000
Au: 0.0000 0.5000 0.2500
Au: 0.0000 0.5000 0.7500
Au: 0.2500 0.0000 0.5000
Au: 0.5000 0.2500 0.0000
Au: 0.5000 0.7500 0.0000
Au: 0.7500 0.0000 0.5000

Summary:
E above lowest polymorph (meV/atom): 136
Total moment (μB per formula unit): 0.00
Formation energy (eV per atom): -0.027
Final energy (eV/atom): -1.9809